# 1
A relaxed KCuTeSe2 crystal. Source: Alexandria via LeMat-Bulk, functional PBE-GGA.

a b c (Å): 8.9544 15.8317 4.6943
angles (deg): 90.00 90.00 90.00
Space group Cmme (No. 67)
Asymmetric unit:
K  0.0000  0.2500  0.1753 (multiplicity 4)
Cu  0.0000  0.0000  0.0000 (multiplicity 4)
Te  0.2500  0.0000  0.5000 (multiplicity 4)
Se  0.0000  0.1071  0.6651 (multiplicity 8)

The calculation puts the final energy at -66.7 eV per cell. The calculation puts the energy relative to the elements, uncorrected at -275 meV/atom.

# 2
A relaxed Pu2N3 crystal. Source: Alexandria via LeMat-Bulk, functional PBE-GGA.

a b c (Å): 3.6633 3.6633 5.7489
angles (deg): 90.00 90.00 120.00
Space group P-3m1 (No. 164)
Asymmetric unit:
Pu  0.3333  0.6667  0.2464 (multiplicity 2)
N  0.0000  0.0000  0.0000 (multiplicity 1)
N  0.3333  0.6667  0.6431 (multiplicity 2)

The calculation puts the final energy at -59.2 eV per cell. The calculation puts the energy relative to the elements, uncorrected at -1121 meV/atom.

# 3
A relaxed SrAlS2Cl crystal. Source: Alexandria via LeMat-Bulk, functional PBE-GGA.

a b c (Å): 5.7128 5.7128 5.5805
angles (deg): 90.00 90.00 90.00
Space group P4/mmm (No. 123)
Asymmetric unit:
Sr  0.0000  0.0000  0.0000 (multiplicity 1)
Al  0.5000  0.5000  0.5000 (multiplicity 1)
S  0.0000  0.5000  0.0000 (multiplicity 2)
Cl  0.0000  0.0000  0.5000 (multiplicity 1)

The calculation puts the final energy at -16.7 eV per cell. As for the energy above the most stable polymorph in this dataset: 1169 meV/atom. The calculation puts the energy relative to the elements, uncorrected at -231 meV/atom.

- Which value of final energy does entry 3 give?
  -16.7 eV per cell